Li3GeN after structural relaxation, computed with PBE-GGA.

Computed properties:
energy relative to the lowest polymorph listed for this composition	0.00	eV per formula unit
E_tot	-40.26	eV per cell
raw formation energy	-289	meV per atom
size of the total moment	0.0	μB/cell
Fermi-level density of states	1.68	states/eV/f.u.

a b c (Å): 4.640 5.714 5.035
angles (deg): 90.00 90.07 90.00
Space group Pm (No. 6)
Symmetry-distinct sites (fractional):
Li 0.000 0.000 0.000 [1 per cell]
Li 0.055 0.243 0.469 [2 per cell]
Li 0.500 0.500 0.595 [1 per cell]
Li 0.555 0.257 0.125 [2 per cell]
Ge 0.068 0.500 0.945 [1 per cell]
Ge 0.568 0.000 0.649 [1 per cell]
N 0.270 0.500 0.266 [1 per cell]
N 0.770 0.000 0.328 [1 per cell]